# Gd2RuSe

An optimized crystal structure of Gd2RuSe (PBE, the Alexandria database).

Calculated values
The symmetry is R-3m, No. 166. The polymorph energy (0 for the lowest one) comes out at 55.4 meV per atom.

abc: 7.491 7.491 7.491
angles: 30.93 30.93 30.93
Fractional coordinates of all 4 atoms:
Gd (0.243, 0.243, 0.243)
Gd (0.757, 0.757, 0.757)
Ru (0.500, 0.500, 0.500)
Se (0.000, 0.000, 0.000)

=====

# La8PtSe4S3

An optimized crystal structure of La8PtSe4S3 (PBE, the Alexandria database).

Calculated values
The symmetry is R-3m, No. 166.

abc: 8.555 8.555 8.555
angles: 59.51 59.51 59.51
Fractional coordinates of all 16 atoms:
La (0.245, 0.245, 0.245)
La (0.245, 0.746, 0.746)
La (0.254, 0.254, 0.755)
La (0.254, 0.755, 0.254)
La (0.746, 0.245, 0.746)
La (0.746, 0.746, 0.245)
La (0.755, 0.254, 0.254)
La (0.755, 0.755, 0.755)
Pt (0.500, 0.500, 0.500)
Se (0.000, 0.000, 0.000)
Se (0.000, 0.500, 0.500)
Se (0.500, 0.000, 0.500)
Se (0.500, 0.500, 0.000)
S (0.000, 0.000, 0.500)
S (0.000, 0.500, 0.000)
S (0.500, 0.000, 0.000)

=====

The formation energy without anion corrections results, record by record, are as follows: -0.890, -1.954 eV/atom.